1.
{
  "formula": "LaInBH2",
  "functional": "PBE",
  "state": "optimized geometry",
  "lattice": [[4.403, 0.000, 0.000], [0.000, 4.222, 0.000], [0.000, 0.000, 4.403]],
  "species": ["H", "H", "In", "La", "B"],
  "frac_coords": [[0.500, 0.000, 0.000], [0.000, 0.000, 0.500], [0.000, 0.500, 0.000], [0.500, 0.500, 0.500], [0.000, 0.000, 0.000]],
  "energy_ev_per_cell": -17.2,
  "vol_a3_per_cell": 81.8
}



2.
{
  "formula": "MgIn2BH",
  "functional": "PBE",
  "state": "optimized geometry",
  "lattice": [[5.309, 0.000, 0.000], [0.000, 3.024, 0.000], [0.000, 0.000, 5.309]],
  "species": ["In", "In", "H", "Mg", "B"],
  "frac_coords": [[0.500, 0.000, 0.000], [0.000, 0.000, 0.500], [0.000, 0.000, 0.000], [0.500, 0.500, 0.500], [0.000, 0.500, 0.000]],
  "energy_ev_per_cell": -13.9,
  "vol_a3_per_cell": 85.3
}



3.
{
  "formula": "NaInBP2HO9",
  "functional": "PBE",
  "state": "optimized geometry",
  "lattice": [[5.218, 0.006, 0.000], [-0.449, 7.765, 0.000], [0.000, 0.000, 17.205]],
  "species": ["O", "O", "O", "O", "O", "O", "O", "O", "O", "O", "O", "O", "O", "O", "O", "O", "O", "O", "O", "O", "O", "O", "O", "O", "O", "O", "O", "O", "O", "O", "O", "O", "O", "O", "O", "O", "P", "P", "P", "P", "P", "P", "P", "P", "In", "In", "In", "In", "Na", "Na", "Na", "Na", "B", "B", "B", "B", "H", "H", "H", "H"],
  "frac_coords": [[0.608, 0.253, 0.221], [0.973, 0.136, 0.588], [0.949, 0.451, 0.159], [0.257, 0.895, 0.945], [0.479, 0.429, 0.802], [0.588, 0.073, 0.865], [0.702, 0.152, 0.472], [0.088, 0.573, 0.635], [0.128, 0.293, 0.481], [0.892, 0.247, 0.721], [0.021, 0.071, 0.302], [0.551, 0.049, 0.659], [0.757, 0.395, 0.555], [0.243, 0.605, 0.445], [0.109, 0.126, 0.863], [0.872, 0.707, 0.519], [0.298, 0.848, 0.528], [0.912, 0.427, 0.365], [0.108, 0.753, 0.279], [0.202, 0.652, 0.028], [0.473, 0.636, 0.912], [0.027, 0.864, 0.412], [0.449, 0.951, 0.341], [0.412, 0.927, 0.135], [0.392, 0.747, 0.779], [0.798, 0.348, 0.972], [0.628, 0.793, 0.019], [0.743, 0.105, 0.055], [0.372, 0.207, 0.981], [0.391, 0.374, 0.363], [0.979, 0.929, 0.698], [0.891, 0.874, 0.137], [0.521, 0.571, 0.198], [0.609, 0.626, 0.637], [0.051, 0.549, 0.841], [0.527, 0.364, 0.088], [0.156, 0.912, 0.331], [0.344, 0.588, 0.831], [0.656, 0.412, 0.169], [0.337, 0.077, 0.911], [0.837, 0.577, 0.589], [0.844, 0.088, 0.669], [0.163, 0.423, 0.411], [0.663, 0.923, 0.089], [0.678, 0.191, 0.341], [0.322, 0.809, 0.659], [0.178, 0.691, 0.159], [0.822, 0.309, 0.841], [0.355, 0.342, 0.671], [0.855, 0.842, 0.829], [0.645, 0.658, 0.329], [0.145, 0.158, 0.171], [0.890, 0.246, 0.524], [0.110, 0.754, 0.476], [0.610, 0.254, 0.024], [0.390, 0.746, 0.976], [0.973, 0.342, 0.992], [0.027, 0.658, 0.008], [0.473, 0.842, 0.508], [0.527, 0.158, 0.492]],
  "energy_ev_per_cell": -402.9,
  "vol_a3_per_cell": 697.2
}



4.
{
  "formula": "InBPH2",
  "functional": "PBE",
  "state": "optimized geometry",
  "lattice": [[3.544, 0.000, 0.000], [0.000, 5.056, 0.000], [0.000, 0.000, 3.544]],
  "species": ["P", "H", "H", "B", "In"],
  "frac_coords": [[0.500, 0.500, 0.500], [0.000, 0.000, 0.500], [0.500, 0.000, 0.000], [0.000, 0.000, 0.000], [0.000, 0.500, 0.000]],
  "energy_ev_per_cell": -16.4,
  "vol_a3_per_cell": 63.5
}



5.
{
  "formula": "In2BHPt6",
  "functional": "PBE",
  "state": "optimized geometry",
  "lattice": [[-2.916, 0.994, -4.770], [-0.099, -5.547, -2.496], [-1.873, 1.687, 6.511]],
  "species": ["Pt", "Pt", "Pt", "Pt", "Pt", "Pt", "In", "In", "B", "H"],
  "frac_coords": [[0.277, 0.191, 0.989], [0.215, 0.319, 0.473], [0.780, 0.706, 0.517], [0.724, 0.284, 0.931], [0.269, 0.721, 0.028], [0.725, 0.806, 0.000], [0.233, 0.775, 0.458], [0.765, 0.235, 0.523], [0.994, 0.006, 0.999], [0.518, 0.462, 0.080]],
  "energy_ev_per_cell": -54.9,
  "vol_a3_per_cell": 148.7
}



6.
{
  "formula": "TaInBH2",
  "functional": "PBE",
  "state": "optimized geometry",
  "lattice": [[-1.703, 3.153, -0.755], [-2.654, -0.593, 3.511], [2.392, 1.798, 2.112]],
  "species": ["H", "H", "Ta", "In", "B"],
  "frac_coords": [[0.500, 0.000, 0.000], [0.000, 0.000, 0.500], [0.000, 0.000, 0.000], [0.500, 0.500, 0.500], [0.000, 0.500, 0.000]],
  "energy_ev_per_cell": -25.9,
  "vol_a3_per_cell": 59.6
}